This record from Alexandria via LeMat-Bulk describes a relaxed TlFeS2F crystal. The functional is PBE+U.

Uncorrected energy in eV/atom: -2.882

a b c (Å): 4.954 4.954 5.962
angles (deg): 90.00 90.00 90.00
Space group P4/mmm (No. 123)
Unique sites:
Tl 0.000 0.000 0.000 [1 per cell]
Fe 0.000 0.000 0.500 [1 per cell]
S 0.000 0.500 0.000 [2 per cell]
F 0.500 0.500 0.500 [1 per cell]